#one
Here is a geometry-optimized PmPrCu2 structure from Alexandria via LeMat-Bulk. Energies are from PBE-GGA.

Structure (POSCAR):
```
PmPrCu2
1.0
3.590 0.000 0.000
0.000 3.590 0.000
0.000 0.000 7.192
Pm Pr Cu
1 1 2
Cartesian
0.000 0.000 0.000
0.000 0.000 3.596
1.795 1.795 1.735
1.795 1.795 5.456
```

Calculated values
Symmetry = P4/mmm (123)
D(E_F) = 0.8294 states/eV per atom

#two
Here is a geometry-optimized PmPrCu2 structure from Alexandria via LeMat-Bulk. Energies are from PBE-GGA.

Structure (POSCAR):
```
PmPrCu2
1.0
3.968 0.000 0.000
-1.984 3.436 0.000
0.000 0.000 22.802
Pm Pr Cu
3 3 6
Cartesian
0.000 0.000 0.000
0.000 2.291 15.201
1.984 1.145 7.601
0.000 0.000 11.401
0.000 2.291 3.800
1.984 1.145 19.002
0.000 0.000 5.735
0.000 0.000 17.066
0.000 2.291 9.466
0.000 2.291 20.937
1.984 1.145 1.865
1.984 1.145 13.336
```

Calculated values
Symmetry = R-3m (166)
D(E_F) = 1.1206 states/eV per atom

The calculated energies rank the structures as follows, beginning with the most stable: #one, #two.

#one
Here is a geometry-optimized PmPr2Cu2 structure from Alexandria via LeMat-Bulk. Energies are from PBE-GGA.

Structure (POSCAR):
```
PmPr2Cu2
1.0
3.651 0.000 0.000
0.000 5.216 0.000
-1.812 0.000 13.527
Pm Pr Cu
2 4 4
Cartesian
0.004 1.304 3.794
1.835 3.912 9.733
-0.001 3.912 1.263
0.007 3.912 6.185
1.831 1.304 7.342
1.840 1.304 12.264
0.010 1.304 9.815
0.014 3.912 12.212
1.824 1.304 1.315
1.829 3.912 3.712
```

Calculated values
Symmetry = P2_1/m (11)
D(E_F) = 1.1279 states/eV per atom

#two
Here is a geometry-optimized PmPr2Cu2 structure from Alexandria via LeMat-Bulk. Energies are from PBE-GGA.

Structure (POSCAR):
```
PmPr2Cu2
1.0
3.939 0.000 0.000
0.000 4.863 0.000
-1.903 0.000 13.830
Pm Pr Cu
2 4 4
Cartesian
0.024 1.216 3.778
2.012 3.647 10.052
0.041 3.647 6.443
0.056 1.216 12.363
1.980 3.647 1.466
1.994 1.216 7.386
0.004 1.216 0.741
0.018 1.216 9.469
2.017 3.647 4.360
2.032 3.647 13.089
```

Calculated values
Symmetry = P2_1/m (11)
D(E_F) = 0.8974 states/eV per atom

The calculated energies rank the structures as follows, beginning with the most stable: #one, #two.